# 1
# GGA-PBE MnRu3, relaxed
data_MnRu3
_symmetry_space_group_name_H-M 'P 1'
_symmetry_Int_Tables_number 1
_cell_length_a 4.241
_cell_length_b 5.371
_cell_length_c 4.658
_cell_angle_alpha 90.00
_cell_angle_beta 90.00
_cell_angle_gamma 90.00
loop_
_symmetry_equiv_pos_as_xyz
'x,y,z'
loop_
_atom_site_label
_atom_site_type_symbol
_atom_site_fract_x
_atom_site_fract_y
_atom_site_fract_z
_atom_site_occupancy
Mn1 Mn 0.250 0.250 0.163 1
Mn2 Mn 0.750 0.750 0.837 1
Ru1 Ru 0.250 0.501 0.670 1
Ru2 Ru 0.250 0.750 0.159 1
Ru3 Ru 0.250 0.999 0.670 1
Ru4 Ru 0.750 0.001 0.330 1
Ru5 Ru 0.750 0.250 0.841 1
Ru6 Ru 0.750 0.499 0.330 1
# VASP energy (eV/atom): -9.240
# M_tot (μB per formula unit): 0.66
# N(E_F) (states/eV/atom): 1.13
# Symmetry: Pmmn, No. 59



# 2
# GGA-PBE MnRu3, relaxed
data_MnRu3
_symmetry_space_group_name_H-M 'P 1'
_symmetry_Int_Tables_number 1
_cell_length_a 2.668
_cell_length_b 2.668
_cell_length_c 7.484
_cell_angle_alpha 90.00
_cell_angle_beta 90.00
_cell_angle_gamma 90.00
loop_
_symmetry_equiv_pos_as_xyz
'x,y,z'
loop_
_atom_site_label
_atom_site_type_symbol
_atom_site_fract_x
_atom_site_fract_y
_atom_site_fract_z
_atom_site_occupancy
Mn1 Mn 0.000 0.000 0.000 1
Ru1 Ru 0.000 0.000 0.500 1
Ru2 Ru 0.500 0.500 0.240 1
Ru3 Ru 0.500 0.500 0.760 1
# VASP energy (eV/atom): -9.138
# M_tot (μB per formula unit): 0.97
# N(E_F) (states/eV/atom): 1.27
# Symmetry: P4/mmm, No. 123



# 3
# GGA-PBE Mn3Ru, relaxed
data_Mn3Ru
_symmetry_space_group_name_H-M 'P 1'
_symmetry_Int_Tables_number 1
_cell_length_a 8.416
_cell_length_b 8.416
_cell_length_c 8.416
_cell_angle_alpha 17.64
_cell_angle_beta 17.64
_cell_angle_gamma 17.64
loop_
_symmetry_equiv_pos_as_xyz
'x,y,z'
loop_
_atom_site_label
_atom_site_type_symbol
_atom_site_fract_x
_atom_site_fract_y
_atom_site_fract_z
_atom_site_occupancy
Mn1 Mn 0.000 0.000 0.000 1
Mn2 Mn 0.253 0.253 0.253 1
Mn3 Mn 0.747 0.747 0.747 1
Ru1 Ru 0.500 0.500 0.500 1
# VASP energy (eV/atom): -9.050
# M_tot (μB per formula unit): 0.95
# N(E_F) (states/eV/atom): 1.39
# Symmetry: R-3m, No. 166



> Which of these has the highest N(E_F)?

Mn3Ru



What did the third record say?
# GGA-PBE Mn3Ru, relaxed
data_Mn3Ru
_symmetry_space_group_name_H-M 'P 1'
_symmetry_Int_Tables_number 1
_cell_length_a 8.416
_cell_length_b 8.416
_cell_length_c 8.416
_cell_angle_alpha 17.64
_cell_angle_beta 17.64
_cell_angle_gamma 17.64
loop_
_symmetry_equiv_pos_as_xyz
'x,y,z'
loop_
_atom_site_label
_atom_site_type_symbol
_atom_site_fract_x
_atom_site_fract_y
_atom_site_fract_z
_atom_site_occupancy
Mn1 Mn 0.000 0.000 0.000 1
Mn2 Mn 0.253 0.253 0.253 1
Mn3 Mn 0.747 0.747 0.747 1
Ru1 Ru 0.500 0.500 0.500 1
# VASP energy (eV/atom): -9.050
# M_tot (μB per formula unit): 0.95
# N(E_F) (states/eV/atom): 1.39
# Symmetry: R-3m, No. 166



> Which of these has the lowest N(E_F)?

number 1



Repeat the second record exactly.
# GGA-PBE MnRu3, relaxed
data_MnRu3
_symmetry_space_group_name_H-M 'P 1'
_symmetry_Int_Tables_number 1
_cell_length_a 2.668
_cell_length_b 2.668
_cell_length_c 7.484
_cell_angle_alpha 90.00
_cell_angle_beta 90.00
_cell_angle_gamma 90.00
loop_
_symmetry_equiv_pos_as_xyz
'x,y,z'
loop_
_atom_site_label
_atom_site_type_symbol
_atom_site_fract_x
_atom_site_fract_y
_atom_site_fract_z
_atom_site_occupancy
Mn1 Mn 0.000 0.000 0.000 1
Ru1 Ru 0.000 0.000 0.500 1
Ru2 Ru 0.500 0.500 0.240 1
Ru3 Ru 0.500 0.500 0.760 1
# VASP energy (eV/atom): -9.138
# M_tot (μB per formula unit): 0.97
# N(E_F) (states/eV/atom): 1.27
# Symmetry: P4/mmm, No. 123